First-principles (GGA-PBE) data for La2ZnB2Rh5 after structural relaxation, as listed in Alexandria.

V, Å³/cell: 309.35
ΔE_f, meV/atom: -609
SG: No. 127

Cell: 3.2506 9.7554 9.7554 Å, 90.00 90.00 90.00°
Sites, in units of the cell vectors:
La1 0.0000 0.6770 0.1770
La2 0.0000 0.3230 0.8230
La3 0.0000 0.1770 0.3230
La4 0.0000 0.8230 0.6770
Zn1 0.0000 0.0000 0.0000
Zn2 0.0000 0.5000 0.5000
B1 0.0000 0.1213 0.6213
B2 0.0000 0.8787 0.3787
B3 0.0000 0.6213 0.8787
B4 0.0000 0.3787 0.1213
Rh1 0.5000 0.2245 0.0696
Rh2 0.5000 0.7755 0.9304
Rh3 0.5000 0.0696 0.7755
Rh4 0.5000 0.7245 0.4304
Rh5 0.5000 0.9304 0.2245
Rh6 0.5000 0.2755 0.5696
Rh7 0.5000 0.5696 0.7245
Rh8 0.5000 0.4304 0.2755
Rh9 0.5000 0.5000 0.0000
Rh10 0.5000 0.0000 0.5000

First-principles (GGA-PBE) data for PmCuSeO after structural relaxation, as listed in Alexandria.

V, Å³/cell: 139.83
SG: No. 129

Cell: 3.9885 3.9885 8.7899 Å, 90.00 90.00 90.00°
Sites, in units of the cell vectors:
Pm1 0.5000 0.0000 0.6351
Pm2 0.0000 0.5000 0.3649
Cu1 0.5000 0.5000 0.0000
Cu2 0.0000 0.0000 0.0000
Se1 0.0000 0.5000 0.8240
Se2 0.5000 0.0000 0.1760
O1 0.0000 0.0000 0.5000
O2 0.5000 0.5000 0.5000

First-principles (GGA-PBE) data for CaAs2H after structural relaxation, as listed in Alexandria.

V, Å³/cell: 77.69
SG: No. 225

Cell: 4.7895 4.7895 4.7895 Å, 60.00 60.00 60.00°
Site moments in Bohr magnetons follow the coordinates.
Sites, in units of the cell vectors:
H1 0.0000 0.0000 0.0000  0.20
As1 0.2500 0.2500 0.2500  0.02
As2 0.7500 0.7500 0.7500  0.02
Ca1 0.5000 0.5000 0.5000  0.01

Number 1: E -6.73 eV per atom. Number 2: E -6.27 eV per atom. Number 3: E -3.33 eV per atom.